# Cr2InSi PBE relaxed
# **Formation energy without anion corrections**: 8.5 kcal/mol of atoms
# **Calculated density**: 6862 kg/m³
# **Total magnetization**: 0.66 μB/atom
data_Cr2InSi
_chemical_formula_sum 'Cr4 In2 Si2'
_cell_length_a 3.309
_cell_length_b 4.603
_cell_length_c 7.843
_cell_angle_alpha 90.00
_cell_angle_beta 90.00
_cell_angle_gamma 90.00
_space_group_name_H-M_alt 'I m m m'
_space_group_IT_number 71
_space_group_name_Hall '-I 2 2'
loop_
_atom_site_label
_atom_site_fract_x
_atom_site_fract_y
_atom_site_fract_z
Cr1 0.000 0.000 0.219
In1 0.000 0.500 0.000
Si1 0.000 0.500 0.500